Record 1
## Sc2BiPd (PBE)

Data for an optimized crystal structure of Sc2BiPd.

Output
SG ... F-43m, No. 216
VASP energy ... -22.89 eV for the cell shown

Cell lengths 4.945, 4.945, 4.945 Å; angles 60.00, 60.00, 60.00 degrees
Fractional coordinates of all 4 atoms:
Sc: 0.000 0.000 0.000
Sc: 0.250 0.250 0.250
Bi: 0.500 0.500 0.500
Pd: 0.750 0.750 0.750

***

Record 2
## YHoIn4Pd2 (PBE)

Data for an optimized crystal structure of YHoIn4Pd2.

Output
SG ... Amm2, No. 38
VASP energy ... -37.53 eV for the cell shown

Cell lengths 7.538, 5.746, 5.746 Å; angles 45.99, 90.00, 90.00 degrees
Fractional coordinates of all 8 atoms:
Y: 0.000 0.000 0.000
Ho: 0.500 0.147 0.147
In: 0.201 0.710 0.710
In: 0.300 0.436 0.436
In: 0.700 0.436 0.436
In: 0.799 0.710 0.710
Pd: 0.000 0.285 0.285
Pd: 0.500 0.862 0.862

***

Record 3
## Sc2FePd (PBE)

Data for an optimized crystal structure of Sc2FePd.

Output
SG ... F-43m, No. 216
ΔE_f ... -145.7 meV/atom

Cell lengths 4.517, 4.517, 4.517 Å; angles 60.00, 60.00, 60.00 degrees
Fractional coordinates of all 4 atoms:
Sc: 0.000 0.000 0.000
Sc: 0.250 0.250 0.250
Fe: 0.750 0.750 0.750
Pd: 0.500 0.500 0.500

***

Record 4
## CuSiNiW (PBE)

Data for an optimized crystal structure of CuSiNiW.

Output
SG ... F-43m, No. 216
ΔE to the lowest computed polymorph ... 0 meV/atom

Cell lengths 4.175, 4.175, 4.175 Å; angles 60.00, 60.00, 60.00 degrees
Fractional coordinates of all 4 atoms:
Cu: 0.000 0.000 0.000
Si: 0.750 0.750 0.750
Ni: 0.250 0.250 0.250
W: 0.500 0.500 0.500

***

Record 5
## Zn2CoRe (PBE)

Data for an optimized crystal structure of Zn2CoRe.

Output
SG ... Fm-3m, No. 225
ΔE to the lowest computed polymorph ... 116 meV/atom
ΔE_f ... 408.9 meV/atom

Cell lengths 4.219, 4.219, 4.219 Å; angles 60.00, 60.00, 60.00 degrees
Fractional coordinates of all 4 atoms:
Zn: 0.250 0.250 0.250
Zn: 0.750 0.750 0.750
Co: 0.000 0.000 0.000
Re: 0.500 0.500 0.500

***

Record 6
## Er2TmZn3CuPt2 (PBE)

Data for an optimized crystal structure of Er2TmZn3CuPt2.

Output
SG ... Amm2, No. 38
ΔE_f ... -798.5 meV/atom

Cell lengths 3.754, 7.223, 7.223 Å; angles 119.91, 90.00, 90.00 degrees
Fractional coordinates of all 9 atoms:
Er: 0.000 0.205 0.795
Er: 0.000 0.795 0.205
Tm: 0.000 0.614 0.614
Zn: 0.500 0.205 0.448
Zn: 0.500 0.448 0.205
Zn: 0.500 0.961 0.961
Cu: 0.000 0.205 0.205
Pt: 0.500 0.538 0.870
Pt: 0.500 0.870 0.538

***

Record 7
## CsTbScSe3 (PBE)

Data for an optimized crystal structure of CsTbScSe3.

Output
SG ... Cmcm, No. 63
VASP energy ... -63.80 eV for the cell shown

Cell lengths 8.344, 8.344, 11.151 Å; angles 90.00, 90.00, 150.04 degrees
Fractional coordinates of all 12 atoms:
Cs: 0.236 0.764 0.750
Cs: 0.764 0.236 0.250
Tb: 0.500 0.500 0.000
Tb: 0.500 0.500 0.500
Sc: 0.039 0.961 0.250
Sc: 0.961 0.039 0.750
Se: 0.120 0.880 0.052
Se: 0.120 0.880 0.448
Se: 0.447 0.553 0.250
Se: 0.553 0.447 0.750
Se: 0.880 0.120 0.552
Se: 0.880 0.120 0.948

***

Record 8
## KPuBe (PBE)

Data for an optimized crystal structure of KPuBe.

Output
SG ... F-43m, No. 216
ΔE to the lowest computed polymorph ... 0 meV/atom

Cell lengths 5.099, 5.099, 5.099 Å; angles 60.00, 60.00, 60.00 degrees
Fractional coordinates of all 3 atoms:
K: 0.000 0.000 0.000
Pu: 0.500 0.500 0.500
Be: 0.250 0.250 0.250